{
  "formula": "NaTb2Ni",
  "functional": "PBE-GGA",
  "state": "relaxed",
  "lattice": [[-1.560, -0.781, -2.904], [-2.386, -1.669, 1.731], [-5.147, 7.995, 0.615]],
  "species": ["Ni", "Tb", "Tb", "Na"],
  "fractional_positions": [[0.500, 0.500, 0.000], [0.000, 0.000, 0.830], [0.000, 0.000, 0.170], [0.500, 0.500, 0.500]],
  "spacegroup": "P4/mmm (123)",
  "e_above_lowest_polymorph_kj_per_mol_atoms": 0.00,
  "dos_at_fermi_per_ev_atom": 0.752,
  "crystal_system": "tetragonal"
}

=====

{
  "formula": "NaTbNi4",
  "functional": "PBE-GGA",
  "state": "relaxed",
  "lattice": [[4.993, 0.000, 0.000], [2.497, 4.324, 0.000], [2.497, 1.441, 4.077]],
  "species": ["Ni", "Ni", "Ni", "Ni", "Tb", "Na"],
  "fractional_positions": [[0.625, 0.625, 0.125], [0.625, 0.125, 0.625], [0.625, 0.625, 0.625], [0.125, 0.625, 0.625], [0.250, 0.250, 0.250], [0.000, 0.000, 0.000]],
  "spacegroup": "F-43m (216)",
  "dos_at_fermi_per_ev_atom": 0.957,
  "crystal_system": "cubic",
  "e_tot_ev_per_atom": -5.01
}